(1)
VASP calculation (PBEsol) on crystalline YTaIN2 at its relaxed geometry.

CIF file:
```
data_YTaIN2
_space_group_name_H-M_alt 'P 1'
_space_group_IT_number 1
_space_group_name_Hall 'P 1'
_cell_length_a 4.1227
_cell_length_b 4.1227
_cell_length_c 5.3922
_cell_angle_alpha 90.00
_cell_angle_beta 90.00
_cell_angle_gamma 90.00
loop_
_atom_site_label
_atom_site_type_symbol
_atom_site_fract_x
_atom_site_fract_y
_atom_site_fract_z
I1 I 0.0000 0.0000 0.5000
Y1 Y 0.5000 0.5000 0.5000
N1 N 0.0000 0.5000 0.0000
N2 N 0.5000 0.0000 0.0000
Ta1 Ta 0.0000 0.0000 0.0000
```

Results
The value obtained for the density is 7.70 g/cm3. The uncorrected formation energy comes out at -0.092 eV/atom.

---

(2)
VASP calculation (PBEsol) on crystalline KCa2Ta at its relaxed geometry.

CIF file:
```
data_KCa2Ta
_space_group_name_H-M_alt 'P 1'
_space_group_IT_number 1
_space_group_name_Hall 'P 1'
_cell_length_a 3.2755
_cell_length_b 6.0255
_cell_length_c 7.3464
_cell_angle_alpha 114.21
_cell_angle_beta 102.88
_cell_angle_gamma 90.00
loop_
_atom_site_label
_atom_site_type_symbol
_atom_site_fract_x
_atom_site_fract_y
_atom_site_fract_z
Ca1 Ca 0.9616 0.9616 0.9233
Ca2 Ca 0.7492 0.2492 0.4983
K1 K 0.5261 0.5261 0.0522
Ta1 Ta 0.2631 0.7631 0.5262
```

Results
The value obtained for the energy relative to the elements is 0.99 eV per atom. The value obtained for the density is 3.89 g/cm3. The energy above the most stable polymorph in this dataset is 0.297 eV/atom.

---

(3)
VASP calculation (PBEsol) on crystalline TaNiP2H at its relaxed geometry.

CIF file:
```
data_TaNiP2H
_space_group_name_H-M_alt 'P 1'
_space_group_IT_number 1
_space_group_name_Hall 'P 1'
_cell_length_a 4.0583
_cell_length_b 4.0583
_cell_length_c 4.7704
_cell_angle_alpha 90.00
_cell_angle_beta 90.00
_cell_angle_gamma 90.00
loop_
_atom_site_label
_atom_site_type_symbol
_atom_site_fract_x
_atom_site_fract_y
_atom_site_fract_z
Ni1 Ni 0.0000 0.0000 0.0000
H1 H 0.5000 0.5000 0.5000
P1 P 0.0000 0.5000 0.0000
P2 P 0.5000 0.0000 0.0000
Ta1 Ta 0.0000 0.0000 0.5000
```

Results
The value obtained for the density is 6.40 g/cm3.

---

(4)
VASP calculation (PBEsol) on crystalline ZnCr2Rh at its relaxed geometry.

CIF file:
```
data_ZnCr2Rh
_space_group_name_H-M_alt 'P 1'
_space_group_IT_number 1
_space_group_name_Hall 'P 1'
_cell_length_a 2.5831
_cell_length_b 2.5831
_cell_length_c 8.1257
_cell_angle_alpha 90.00
_cell_angle_beta 90.00
_cell_angle_gamma 112.96
loop_
_atom_site_label
_atom_site_type_symbol
_atom_site_fract_x
_atom_site_fract_y
_atom_site_fract_z
Cr1 Cr 0.0000 0.0000 0.9798
Cr2 Cr 0.5000 0.5000 0.7652
Rh1 Rh 0.0000 0.0000 0.5104
Zn1 Zn 0.5000 0.5000 0.2445
```

Results
The value obtained for the energy relative to the elements is 0.09 eV per atom. The value obtained for the density is 9.06 g/cm3.

---

(5)
VASP calculation (PBEsol) on crystalline TlCrSe4 at its relaxed geometry.

CIF file:
```
data_TlCrSe4
_space_group_name_H-M_alt 'P 1'
_space_group_IT_number 1
_space_group_name_Hall 'P 1'
_cell_length_a 5.7576
_cell_length_b 5.7576
_cell_length_c 5.7576
_cell_angle_alpha 60.00
_cell_angle_beta 60.00
_cell_angle_gamma 60.00
loop_
_atom_site_label
_atom_site_type_symbol
_atom_site_fract_x
_atom_site_fract_y
_atom_site_fract_z
Cr1 Cr 0.0000 0.0000 0.0000
Se1 Se 0.3743 0.3743 0.3743
Se2 Se 0.3743 0.3743 0.8770
Se3 Se 0.8770 0.3743 0.3743
Se4 Se 0.3743 0.8770 0.3743
Tl1 Tl 0.7500 0.7500 0.7500
```

Results
The value obtained for the density is 7.04 g/cm3. The uncorrected formation energy comes out at 0.518 eV/atom.

---

(6)
VASP calculation (PBEsol) on crystalline CaPt2 at its relaxed geometry.

CIF file:
```
data_CaPt2
_space_group_name_H-M_alt 'P 1'
_space_group_IT_number 1
_space_group_name_Hall 'P 1'
_cell_length_a 4.6736
_cell_length_b 4.6736
_cell_length_c 5.6079
_cell_angle_alpha 90.00
_cell_angle_beta 90.00
_cell_angle_gamma 120.00
loop_
_atom_site_label
_atom_site_type_symbol
_atom_site_fract_x
_atom_site_fract_y
_atom_site_fract_z
Ca1 Ca 0.6667 0.3333 0.7500
Ca2 Ca 0.3333 0.6667 0.2500
Pt1 Pt 0.0000 0.0000 0.0000
Pt2 Pt 0.0000 0.0000 0.5000
Pt3 Pt 0.6667 0.3333 0.2500
Pt4 Pt 0.3333 0.6667 0.7500
```

Results
The value obtained for the energy relative to the elements is -0.42 eV per atom. The value obtained for the density is 13.47 g/cm3.

---

(7)
VASP calculation (PBEsol) on crystalline CaZrHg2I at its relaxed geometry.

CIF file:
```
data_CaZrHg2I
_space_group_name_H-M_alt 'P 1'
_space_group_IT_number 1
_space_group_name_Hall 'P 1'
_cell_length_a 5.5505
_cell_length_b 5.5505
_cell_length_c 5.8852
_cell_angle_alpha 90.00
_cell_angle_beta 90.00
_cell_angle_gamma 90.00
loop_
_atom_site_label
_atom_site_type_symbol
_atom_site_fract_x
_atom_site_fract_y
_atom_site_fract_z
I1 I 0.5000 0.5000 0.5000
Ca1 Ca 0.0000 0.0000 0.0000
Hg1 Hg 0.0000 0.5000 0.0000
Hg2 Hg 0.5000 0.0000 0.0000
Zr1 Zr 0.0000 0.0000 0.5000
```

Results
The value obtained for the density is 6.04 g/cm3. The uncorrected formation energy comes out at 0.795 eV/atom.

---

(8)
VASP calculation (PBEsol) on crystalline HfTl2CoRu at its relaxed geometry.

CIF file:
```
data_HfTl2CoRu
_space_group_name_H-M_alt 'P 1'
_space_group_IT_number 1
_space_group_name_Hall 'P 1'
_cell_length_a 4.7739
_cell_length_b 5.1006
_cell_length_c 5.1006
_cell_angle_alpha 90.00
_cell_angle_beta 90.00
_cell_angle_gamma 90.00
loop_
_atom_site_label
_atom_site_type_symbol
_atom_site_fract_x
_atom_site_fract_y
_atom_site_fract_z
Ru1 Ru 0.0000 0.0000 0.0000
Tl1 Tl 0.0000 0.0000 0.5000
Tl2 Tl 0.0000 0.5000 0.0000
Hf1 Hf 0.5000 0.0000 0.0000
Co1 Co 0.5000 0.5000 0.5000
```

Results
The value obtained for the energy relative to the elements is 1.00 eV per atom. The value obtained for the density is 9.99 g/cm3.

---

(9)
VASP calculation (PBEsol) on crystalline LaRu2W at its relaxed geometry.

CIF file:
```
data_LaRu2W
_space_group_name_H-M_alt 'P 1'
_space_group_IT_number 1
_space_group_name_Hall 'P 1'
_cell_length_a 4.1637
_cell_length_b 4.1637
_cell_length_c 5.8392
_cell_angle_alpha 69.11
_cell_angle_beta 69.11
_cell_angle_gamma 60.00
loop_
_atom_site_label
_atom_site_type_symbol
_atom_site_fract_x
_atom_site_fract_y
_atom_site_fract_z
La1 La 0.5000 0.5000 0.5000
Ru1 Ru 0.2867 0.2867 0.1399
Ru2 Ru 0.7133 0.7133 0.8601
W1 W 0.0000 0.0000 0.0000
```

Results
The value obtained for the energy relative to the elements is 0.19 eV per atom. The value obtained for the density is 10.91 g/cm3.

---

(10)
VASP calculation (PBEsol) on crystalline KBa2Sr at its relaxed geometry.

CIF file:
```
data_KBa2Sr
_space_group_name_H-M_alt 'P 1'
_space_group_IT_number 1
_space_group_name_Hall 'P 1'
_cell_length_a 4.6500
_cell_length_b 7.1091
_cell_length_c 7.1255
_cell_angle_alpha 90.00
_cell_angle_beta 90.00
_cell_angle_gamma 90.00
loop_
_atom_site_label
_atom_site_type_symbol
_atom_site_fract_x
_atom_site_fract_y
_atom_site_fract_z
Sr1 Sr 0.0000 0.5000 0.5000
K1 K 0.5000 0.5000 0.0000
Ba1 Ba 0.0000 0.0000 0.0000
Ba2 Ba 0.5000 0.0000 0.5000
```

Results
The value obtained for the energy relative to the elements is 0.09 eV per atom. The value obtained for the density is 2.83 g/cm3. The energy above the most stable polymorph in this dataset is 0.041 eV/atom.

---

(11)
VASP calculation (PBEsol) on crystalline FeH at its relaxed geometry.

CIF file:
```
data_FeH
_space_group_name_H-M_alt 'P 1'
_space_group_IT_number 1
_space_group_name_Hall 'P 1'
_cell_length_a 2.6045
_cell_length_b 2.6045
_cell_length_c 2.6045
_cell_angle_alpha 60.00
_cell_angle_beta 60.00
_cell_angle_gamma 60.00
loop_
_atom_site_label
_atom_site_type_symbol
_atom_site_fract_x
_atom_site_fract_y
_atom_site_fract_z
H1 H 0.5000 0.5000 0.5000
Fe1 Fe 0.0000 0.0000 0.0000
```

Results
The value obtained for the density is 7.56 g/cm3.

---

(12)
VASP calculation (PBEsol) on crystalline Ru2WSe at its relaxed geometry.

CIF file:
```
data_Ru2WSe
_space_group_name_H-M_alt 'P 1'
_space_group_IT_number 1
_space_group_name_Hall 'P 1'
_cell_length_a 2.8349
_cell_length_b 2.8349
_cell_length_c 8.5111
_cell_angle_alpha 80.41
_cell_angle_beta 80.41
_cell_angle_gamma 60.00
loop_
_atom_site_label
_atom_site_type_symbol
_atom_site_fract_x
_atom_site_fract_y
_atom_site_fract_z
Ru1 Ru 0.0005 0.0005 0.9986
Ru2 Ru 0.7527 0.7527 0.7419
Se1 Se 0.4972 0.4972 0.5083
W1 W 0.2496 0.2496 0.2513
```

Results
The value obtained for the density is 13.28 g/cm3. The uncorrected formation energy comes out at 0.298 eV/atom.

---

(13)
VASP calculation (PBEsol) on crystalline LiScNb2 at its relaxed geometry.

CIF file:
```
data_LiScNb2
_space_group_name_H-M_alt 'P 1'
_space_group_IT_number 1
_space_group_name_Hall 'P 1'
_cell_length_a 4.6162
_cell_length_b 4.6162
_cell_length_c 4.6162
_cell_angle_alpha 60.00
_cell_angle_beta 60.00
_cell_angle_gamma 60.00
loop_
_atom_site_label
_atom_site_type_symbol
_atom_site_fract_x
_atom_site_fract_y
_atom_site_fract_z
Sc1 Sc 0.5000 0.5000 0.5000
Nb1 Nb 0.2500 0.2500 0.2500
Nb2 Nb 0.7500 0.7500 0.7500
Li1 Li 0.0000 0.0000 0.0000
```

Results
The value obtained for the energy relative to the elements is 0.59 eV per atom. The value obtained for the density is 5.68 g/cm3.

---

| no. | V (Å³/cell) | Fermi-level density of states (states/eV per cell) | total energy (eV per atom) |
| --- | --- | --- | --- |
| 1 | 92 | 2.71 | -7.730 |
| 2 | 128 | 4.00 | -3.496 |
| 3 | 79 | 2.37 | -5.658 |
| 4 | 50 | 2.75 | -7.465 |
| 5 | 135 | 3.86 | -4.195 |
| 6 | 106 | 3.14 | -5.778 |
| 7 | 181 | 5.74 | -2.030 |
| 8 | 124 | 7.14 | -5.732 |
| 9 | 80 | 3.96 | -9.681 |
| 10 | 236 | 5.21 | -1.724 |
| 11 | 12 | 1.14 | -6.185 |
| 12 | 58 | 3.44 | -9.203 |
| 13 | 70 | 4.33 | -6.967 |